Record 1
{"formula": "HgO6F12", "functional": "GGA-PBE", "state": "relaxed", "n_ef_per_ev_atom": 0.543, "formation_energy_uncorrected_ev_per_atom": 0.058, "spacegroup": "R-3, No. 148", "lattice": [[6.6177, 0.7444, -0.9449], [-1.1854, 6.5531, -0.9449], [0.5541, 0.7444, 6.6618]], "species": ["F", "F", "F", "F", "F", "F", "F", "F", "F", "F", "F", "F", "O", "O", "O", "O", "O", "O", "Hg"], "frac_coords": [[0.3980, 0.5075, 0.1704], [0.6020, 0.4925, 0.8296], [0.9165, 0.1758, 0.2565], [0.5075, 0.1704, 0.3980], [0.1758, 0.2565, 0.9165], [0.2565, 0.9165, 0.1758], [0.1704, 0.3980, 0.5075], [0.8296, 0.6020, 0.4925], [0.7435, 0.0835, 0.8242], [0.8242, 0.7435, 0.0835], [0.0835, 0.8242, 0.7435], [0.4925, 0.8296, 0.6020], [0.2713, 0.5336, 0.0113], [0.9887, 0.7287, 0.4664], [0.5336, 0.0113, 0.2713], [0.0113, 0.2713, 0.5336], [0.4664, 0.9887, 0.7287], [0.7287, 0.4664, 0.9887], [0.0000, 0.0000, 0.0000]]}



Record 2
{"formula": "BaAl2Ir", "functional": "GGA-PBE", "state": "relaxed", "n_ef_per_ev_atom": 0.568, "e_form_mev_per_atom": 506, "spacegroup": "Cmmm, No. 65", "lattice": [[5.6477, -0.0322, 0.0000], [-2.6239, 5.0012, 0.0000], [0.0000, 0.0000, 3.1076]], "species": ["Al", "Al", "Ir", "Ba"], "frac_coords": [[0.5000, 0.5000, 0.0000], [0.0000, 0.0000, 0.0000], [0.0000, 0.5000, 0.5000], [0.5000, 0.0000, 0.5000]]}



Record 3
{"formula": "Tb2Pm6YTh", "functional": "GGA-PBE", "state": "relaxed", "n_ef_per_ev_atom": 1.427, "e_form_mev_per_atom": 143, "spacegroup": "C2/c, No. 15", "lattice": [[9.2859, -2.1665, -2.2483], [0.8216, 8.5910, -1.9543], [0.8216, -2.2714, 8.5127]], "species": ["Pm", "Pm", "Pm", "Pm", "Pm", "Pm", "Pm", "Pm", "Pm", "Pm", "Pm", "Pm", "Tb", "Tb", "Tb", "Tb", "Th", "Th", "Y", "Y"], "frac_coords": [[0.1849, 0.5744, 0.0141], [0.8796, 0.2963, 0.5108], [0.0563, 0.1109, 0.7561], [0.8151, 0.4256, 0.9859], [0.3151, 0.9859, 0.4256], [0.1204, 0.7037, 0.4892], [0.4437, 0.2439, 0.8891], [0.9437, 0.8891, 0.2439], [0.6204, 0.4892, 0.7037], [0.3796, 0.5108, 0.2963], [0.5563, 0.7561, 0.1109], [0.6849, 0.0141, 0.5744], [0.5480, 0.1994, 0.2910], [0.0480, 0.2910, 0.1994], [0.9520, 0.7090, 0.8006], [0.4520, 0.8006, 0.7090], [0.7500, 0.0264, 0.9736], [0.2500, 0.9736, 0.0264], [0.7500, 0.5929, 0.4071], [0.2500, 0.4071, 0.5929]]}



Record 4
{"formula": "CrNi3", "functional": "GGA-PBE", "state": "relaxed", "n_ef_per_ev_atom": 1.695, "e_form_mev_per_atom": 52, "spacegroup": "R-3m, No. 166", "lattice": [[2.4925, 0.0000, 0.0000], [-1.2463, 8.2180, -0.0040], [1.2463, -0.1879, 2.1504]], "species": ["Ni", "Ni", "Ni", "Cr"], "frac_coords": [[0.5000, 0.5000, 0.5000], [0.7494, 0.2482, 0.7494], [0.2506, 0.7518, 0.2506], [0.0000, 0.0000, 0.0000]]}



Record 5
{"formula": "YTm2Pd", "functional": "GGA-PBE", "state": "relaxed", "polymorph_energy_ev_per_fu": 0.722, "n_ef_per_ev_atom": 1.002, "e_form_mev_per_atom": -312, "spacegroup": "R-3m, No. 166", "lattice": [[3.6209, 0.0000, 0.0000], [1.8105, 3.1358, 0.0000], [1.8105, 1.0453, 9.6975]], "species": ["Tm", "Tm", "Y", "Pd"], "frac_coords": [[0.7327, 0.7327, 0.8019], [0.2673, 0.2673, 0.1981], [0.5000, 0.5000, 0.5000], [0.0000, 0.0000, 0.0000]]}



Record 6
{"formula": "La2Pm2Se2S3", "functional": "GGA-PBE", "state": "relaxed", "n_ef_per_ev_atom": 0.547, "formation_energy_uncorrected_ev_per_atom": -1.787, "spacegroup": "I4/mmm, No. 139", "lattice": [[5.5471, 0.0000, 0.0000], [0.0000, 5.5471, 0.0000], [-2.7735, -2.7735, 7.6514]], "species": ["S", "S", "S", "Se", "Se", "La", "La", "Pm", "Pm"], "frac_coords": [[0.2500, 0.7500, 0.5000], [0.0000, 0.0000, 0.0000], [0.7500, 0.2500, 0.5000], [0.3987, 0.3987, 0.7974], [0.6013, 0.6013, 0.2026], [0.7974, 0.7974, 0.5949], [0.2026, 0.2026, 0.4051], [0.5000, 0.0000, 0.0000], [0.0000, 0.5000, 0.0000]]}



Record 7
{"formula": "K5ThO5", "functional": "GGA-PBE", "state": "relaxed", "n_ef_per_ev_atom": 0.782, "formation_energy_uncorrected_ev_per_atom": -1.848, "spacegroup": "C2/m, No. 12", "lattice": [[-2.0688, -3.1727, -3.4796], [5.5942, -2.5981, 2.8440], [-5.7325, -1.3562, 4.6449]], "species": ["O", "O", "O", "O", "O", "K", "K", "K", "K", "K", "Th"], "frac_coords": [[0.1375, 0.2751, 0.2866], [0.5000, 0.0000, 0.0000], [0.8702, 0.7405, 0.1474], [0.8625, 0.7249, 0.7134], [0.1298, 0.2595, 0.8526], [0.6943, 0.3885, 0.3177], [0.6770, 0.3539, 0.8515], [0.3230, 0.6461, 0.1485], [0.3057, 0.6115, 0.6823], [0.0000, 0.0000, 0.5000], [0.0000, 0.0000, 0.0000]]}



Record 8
{"formula": "CaRu2Se", "functional": "GGA-PBE", "state": "relaxed", "n_ef_per_ev_atom": 1.545, "formation_energy_uncorrected_ev_per_atom": 0.266, "spacegroup": "I-4m2, No. 119", "lattice": [[-2.6866, 4.3517, 0.5407], [-5.0481, -0.6979, 0.6907], [4.2588, -1.9280, 2.1431]], "species": ["Se", "Ru", "Ru", "Ca"], "frac_coords": [[0.5000, 0.5000, 0.0000], [0.0000, 0.0000, 0.0000], [0.2500, 0.7500, 0.5000], [0.7500, 0.2500, 0.5000]]}



Record 9
{"formula": "Np2TcH6", "functional": "GGA-PBE", "state": "relaxed", "total_energy_ev_per_atom": -6.449, "n_ef_per_ev_atom": 1.139, "spacegroup": "Fm-3m, No. 225", "lattice": [[0.7098, 4.9934, -0.3074], [-1.3045, 2.9800, 3.8665], [3.5751, 2.2206, 2.7964]], "species": ["Tc", "Np", "Np", "H", "H", "H", "H", "H", "H"], "frac_coords": [[0.0000, 0.0000, 0.0000], [0.2500, 0.2500, 0.2500], [0.7500, 0.7500, 0.7500], [0.2521, 0.7479, 0.7479], [0.7479, 0.7479, 0.2521], [0.2521, 0.7479, 0.2521], [0.7479, 0.2521, 0.7479], [0.2521, 0.2521, 0.7479], [0.7479, 0.2521, 0.2521]]}



Record 10
{"formula": "Zr2TaP", "functional": "GGA-PBE", "state": "relaxed", "n_ef_per_ev_atom": 1.094, "e_form_mev_per_atom": -419, "spacegroup": "R-3m, No. 166", "lattice": [[8.1016, -1.6990, -0.0028], [8.1016, 1.6990, -0.0028], [7.7463, 0.0000, 2.9185]], "species": ["Zr", "Zr", "Ta", "P"], "frac_coords": [[0.7634, 0.7634, 0.7634], [0.2366, 0.2366, 0.2366], [0.0000, 0.0000, 0.0000], [0.5000, 0.5000, 0.5000]]}



Record 11
{"formula": "Er8Tm2Th", "functional": "GGA-PBE", "state": "relaxed", "polymorph_energy_ev_per_fu": 0.000, "n_ef_per_ev_atom": 1.518, "e_form_mev_per_atom": 30, "spacegroup": "C2/m, No. 12", "lattice": [[-1.5535, -4.5832, 1.1293], [3.9022, -2.8498, -6.1976], [6.6058, 1.9918, 6.2367]], "species": ["Tm", "Tm", "Er", "Er", "Er", "Er", "Er", "Er", "Er", "Er", "Th"], "frac_coords": [[0.7718, 0.3640, 0.5435], [0.2282, 0.6360, 0.4565], [0.6808, 0.9080, 0.3617], [0.8642, 0.8189, 0.7284], [0.5908, 0.4538, 0.1817], [0.4092, 0.5462, 0.8183], [0.1358, 0.1811, 0.2716], [0.9548, 0.2689, 0.9096], [0.0452, 0.7311, 0.0904], [0.3192, 0.0920, 0.6383], [0.5000, 0.0000, 0.0000]]}



Record 12
{"formula": "NaZnIn2Cl", "functional": "GGA-PBE", "state": "relaxed", "n_ef_per_ev_atom": 0.437, "formation_energy_uncorrected_ev_per_atom": 0.248, "spacegroup": "P4/mmm, No. 123", "lattice": [[5.8416, 0.0000, 0.0000], [0.0000, 5.2908, 0.0000], [0.0000, 0.0000, 5.8416]], "species": ["In", "In", "Cl", "Na", "Zn"], "frac_coords": [[0.5000, 0.0000, 0.0000], [0.0000, 0.0000, 0.5000], [0.5000, 0.5000, 0.5000], [0.0000, 0.0000, 0.0000], [0.0000, 0.5000, 0.0000]]}



Record 13
{"formula": "ZnGaTc2B", "functional": "GGA-PBE", "state": "relaxed", "n_ef_per_ev_atom": 0.668, "e_form_mev_per_atom": 1417, "spacegroup": "P4/mmm, No. 123", "lattice": [[4.6663, 0.0000, 0.0000], [0.0000, 3.6127, 0.0000], [0.0000, 0.0000, 4.6663]], "species": ["Zn", "Tc", "Tc", "B", "Ga"], "frac_coords": [[0.0000, 0.0000, 0.0000], [0.5000, 0.0000, 0.0000], [0.0000, 0.0000, 0.5000], [0.0000, 0.5000, 0.0000], [0.5000, 0.5000, 0.5000]]}



Record 14
{"formula": "K4Rb2BeSb2", "functional": "GGA-PBE", "state": "relaxed", "n_ef_per_ev_atom": 0.197, "formation_energy_uncorrected_ev_per_atom": -0.170, "spacegroup": "C2/m, No. 12", "lattice": [[6.1907, 0.0370, 0.0252], [1.4461, 8.3844, 0.1562], [1.4461, 3.2238, 7.7414]], "species": ["K", "K", "K", "K", "Sb", "Sb", "Be", "Rb", "Rb"], "frac_coords": [[0.2167, 0.1044, 0.6554], [0.7833, 0.8956, 0.3446], [0.7833, 0.3446, 0.8956], [0.2167, 0.6554, 0.1044], [0.2812, 0.1536, 0.1536], [0.7188, 0.8464, 0.8464], [0.5000, 0.0000, 0.0000], [0.7392, 0.3545, 0.3545], [0.2608, 0.6455, 0.6455]]}



Record 15
{"formula": "LiDy3Ho2S6", "functional": "GGA-PBE", "state": "relaxed", "n_ef_per_ev_atom": 0.379, "formation_energy_uncorrected_ev_per_atom": -1.958, "spacegroup": "C2/m, No. 12", "lattice": [[-0.0444, 4.8382, -4.6489], [-5.1768, -4.2394, 0.4998], [-1.0623, 3.7216, 5.5026]], "species": ["S", "S", "S", "S", "S", "S", "Ho", "Ho", "Dy", "Dy", "Dy", "Li"], "frac_coords": [[0.9188, 0.5921, 0.7553], [0.5921, 0.9188, 0.7553], [0.4079, 0.0812, 0.2447], [0.7558, 0.7558, 0.2413], [0.2442, 0.2442, 0.7587], [0.0812, 0.4079, 0.2447], [0.3343, 0.6657, 0.0000], [0.6657, 0.3343, 0.0000], [0.1655, 0.8345, 0.5000], [0.5000, 0.5000, 0.5000], [0.8345, 0.1655, 0.5000], [0.0000, 0.0000, 0.0000]]}



Record 16
{"formula": "Tl2SiMo", "functional": "GGA-PBE", "state": "relaxed", "polymorph_energy_ev_per_fu": 1.972, "n_ef_per_ev_atom": 0.574, "formation_energy_uncorrected_ev_per_atom": 0.783, "spacegroup": "P4/mmm, No. 123", "lattice": [[-2.8369, 2.1494, 1.3358], [-1.9875, -3.1346, 0.8227], [2.3061, -0.1242, 5.0976]], "species": ["Si", "Tl", "Tl", "Mo"], "frac_coords": [[0.5000, 0.5000, 0.7500], [0.0000, 0.0000, 0.0009], [0.0000, 0.0000, 0.4991], [0.5000, 0.5000, 0.2500]]}



Record 17
{"formula": "SrAl2Ru", "functional": "GGA-PBE", "state": "relaxed", "n_ef_per_ev_atom": 0.599, "e_form_mev_per_atom": -151, "spacegroup": "P4mm, No. 99", "lattice": [[-1.7437, -0.7600, -2.7668], [1.8440, -2.7784, -0.3989], [-4.8389, -3.7991, 4.0932]], "species": ["Sr", "Ru", "Al", "Al"], "frac_coords": [[0.5000, 0.5000, 0.7256], [0.0000, 0.0000, 0.4120], [0.5000, 0.5000, 0.2922], [0.0000, 0.0000, 0.0703]]}



Record 18
{"formula": "U4S4N", "functional": "GGA-PBE", "state": "relaxed", "n_ef_per_ev_atom": 2.350, "formation_energy_uncorrected_ev_per_atom": -1.061, "spacegroup": "I-42m, No. 121", "lattice": [[-1.6985, 1.0189, -6.1647], [1.7678, -6.0491, -1.4869], [-4.8639, 0.8445, 4.8802]], "species": ["U", "U", "U", "U", "S", "S", "S", "S", "N"], "frac_coords": [[0.9275, 0.3307, 0.2583], [0.0725, 0.0725, 0.7417], [0.6693, 0.6693, 0.7417], [0.3307, 0.9275, 0.2583], [0.6810, 0.6810, 0.3619], [0.0000, 0.5000, 0.0000], [0.3190, 0.3190, 0.6381], [0.5000, 0.0000, 0.0000], [0.0000, 0.0000, 0.0000]]}



Record 19
{"formula": "Sr2TlGe", "functional": "GGA-PBE", "state": "relaxed", "n_ef_per_ev_atom": 0.741, "e_form_mev_per_atom": -484, "spacegroup": "P2_1/m, No. 11", "lattice": [[4.5825, 0.0000, 0.0000], [0.0000, 6.5163, -0.1220], [0.0000, -3.4115, 8.9700]], "species": ["Tl", "Tl", "Ge", "Ge", "Sr", "Sr", "Sr", "Sr"], "frac_coords": [[0.2500, 0.3340, 0.7111], [0.7500, 0.6660, 0.2889], [0.7500, 0.6393, 0.7862], [0.2500, 0.3607, 0.2138], [0.2500, 0.7680, 0.5802], [0.2500, 0.7806, 0.0577], [0.7500, 0.2194, 0.9423], [0.7500, 0.2320, 0.4198]]}



Record 20
{"formula": "BeIn2Cu", "functional": "GGA-PBE", "state": "relaxed", "n_ef_per_ev_atom": 0.293, "e_form_mev_per_atom": 181, "spacegroup": "Pm, No. 6", "lattice": [[-0.4101, -1.3756, 3.6102], [-0.3354, -3.4927, -1.3690], [4.5934, -2.4306, -0.4043]], "species": ["In", "In", "Be", "Cu"], "frac_coords": [[0.5000, 0.2787, 0.3287], [0.0000, 0.9691, 0.9273], [0.0000, 0.6902, 0.4922], [0.5000, 0.5621, 0.7518]]}